(1)
VASP calculation (PBE-GGA) on crystalline TcPt2 at its relaxed geometry.

Unit cell a=2.7835 b=5.2936 c=6.6823 alpha=75.04 beta=90.00 gamma=105.24
Fractional coordinates of all 6 atoms:
Pt1 0.0027 0.0055 0.0067
Pt2 0.3841 0.7683 0.7335
Pt3 0.6714 0.3428 0.6554
Pt4 0.0528 0.1056 0.3822
Tc1 0.3261 0.6522 0.3279
Tc2 0.7295 0.4589 0.0610

Calculated values
The value obtained for the total magnetization is 0.00 μB per cell. Its space-group type is C2/m. The energy relative to the lowest polymorph listed for this composition comes out at 0.089 eV per atom. The calculation puts the formation energy at -0.31 eV per formula unit.

(2)
VASP calculation (PBE-GGA) on crystalline Tc5Pt at its relaxed geometry.

Unit cell a=5.0086 b=5.0086 c=4.4806 alpha=90.00 beta=90.00 gamma=120.00
Fractional coordinates of all 6 atoms:
Tc1 0.0000 0.5000 0.5000
Tc2 0.3333 0.6667 0.0000
Tc3 0.5000 0.0000 0.5000
Tc4 0.5000 0.5000 0.5000
Tc5 0.6667 0.3333 0.0000
Pt1 0.0000 0.0000 0.0000

Calculated values
The value obtained for the total magnetization is 0.00 μB per cell. Its space-group type is P6/mmm. The energy relative to the lowest polymorph listed for this composition comes out at 0.650 eV per atom. The calculation puts the formation energy at 3.15 eV per formula unit.

(3)
VASP calculation (PBE-GGA) on crystalline TcPt2 at its relaxed geometry.

Unit cell a=12.6533 b=12.6533 c=12.6533 alpha=167.57 beta=167.57 gamma=17.62
Fractional coordinates of all 6 atoms:
Tc1 0.0000 0.0000 0.0000
Tc2 0.7500 0.2500 0.5000
Pt1 0.3264 0.8264 0.5000
Pt2 0.1736 0.6736 0.5000
Pt3 0.5764 0.5764 0.0000
Pt4 0.4236 0.4236 0.0000

Calculated values
The value obtained for the total magnetization is 0.00 μB per cell. Its space-group type is I4_1/amd. The energy relative to the lowest polymorph listed for this composition comes out at 0.062 eV per atom. The calculation puts the formation energy at -0.39 eV per formula unit.

(4)
VASP calculation (PBE-GGA) on crystalline TcPt2 at its relaxed geometry.

Unit cell a=4.4544 b=4.4544 c=5.4712 alpha=90.00 beta=90.00 gamma=120.00
Fractional coordinates of all 6 atoms:
Tc1 0.3333 0.6667 0.7500
Tc2 0.6667 0.3333 0.2500
Pt1 0.0000 0.0000 0.0000
Pt2 0.0000 0.0000 0.5000
Pt3 0.3333 0.6667 0.2500
Pt4 0.6667 0.3333 0.7500

Calculated values
The value obtained for the total magnetization is 2.12 μB per cell. Its space-group type is P6_3/mmc. The energy relative to the lowest polymorph listed for this composition comes out at 0.319 eV per atom. The calculation puts the formation energy at 0.38 eV per formula unit.

The evaluated raw total energy for the records listed, in turn: -7.587; -9.119; -7.613; -7.356 eV/atom.